[1]
Here is a relaxed LiCe2Dy3Se6 crystal from Alexandria via LeMat-Bulk. Energies are from GGA-PBE.

Output
total magnetic moment: 4.16 Bohr magnetons per cell
energy relative to the elements, uncorrected: -40.36 kcal/mol of atoms
D(E_F): 29.940 states/eV/cell

a b c (Å): 7.099 12.318 7.140
angles (deg): 90.00 109.53 90.00
Space group C2/m (No. 12)
Inequivalent atoms, fractional coordinates:
Li: 0.000 0.000 0.000 [2 per cell]
Ce: 0.000 0.335 0.000 [4 per cell]
Dy: 0.000 0.168 0.500 [4 per cell]
Dy: 0.000 0.500 0.500 [2 per cell]
Se: 0.237 0.000 0.747 [4 per cell]
Se: 0.245 0.161 0.253 [8 per cell]



[2]
Here is a relaxed Er2Zn2InNi5 crystal from Alexandria via LeMat-Bulk. Energies are from GGA-PBE.

Output
total magnetic moment: 0.00 Bohr magnetons per cell
formation energy: -0.309 eV per atom
D(E_F): 12.581 states/eV/cell

a b c (Å): 9.291 9.291 3.627
angles (deg): 90.00 90.00 90.00
Space group P4/mbm (No. 127)
Inequivalent atoms, fractional coordinates:
Er: 0.179 0.321 0.000 [4 per cell]
Zn: 0.116 0.616 0.000 [4 per cell]
In: 0.000 0.000 0.000 [2 per cell]
Ni: 0.000 0.500 0.500 [2 per cell]
Ni: 0.064 0.787 0.500 [8 per cell]



[3]
Here is a relaxed BaBiSb crystal from Alexandria via LeMat-Bulk. Energies are from GGA-PBE.

Output
total magnetic moment: 0.00 Bohr magnetons per cell
energy relative to the elements, uncorrected: -15.34 kcal/mol of atoms
distance to the lowest polymorph of the same formula: 0.0 meV per atom
D(E_F): 5.687 states/eV/cell

a b c (Å): 5.085 19.309 4.523
angles (deg): 90.00 90.00 90.00
Space group Cmcm (No. 63)
Inequivalent atoms, fractional coordinates:
Ba: 0.000 0.104 0.250 [4 per cell]
Bi: 0.000 0.257 0.750 [4 per cell]
Sb: 0.000 0.450 0.250 [4 per cell]



[4]
Here is a relaxed K3TmCl6 crystal from Alexandria via LeMat-Bulk. Energies are from GGA-PBE.

Output
total magnetic moment: 0.00 Bohr magnetons per cell
energy relative to the elements, uncorrected: -49.30 kcal/mol of atoms
D(E_F): 0.000 states/eV/cell

a b c (Å): 7.500 7.927 13.016
angles (deg): 90.00 124.35 90.00
Space group P2_1/c (No. 14)
Inequivalent atoms, fractional coordinates:
K: 0.000 0.000 0.000 [2 per cell]
K: 0.216 0.072 0.744 [4 per cell]
Tm: 0.500 0.000 0.500 [2 per cell]
Cl: 0.164 0.179 0.444 [4 per cell]
Cl: 0.258 0.728 0.425 [4 per cell]
Cl: 0.402 0.053 0.275 [4 per cell]



[5]
Here is a relaxed V2CdFe2 crystal from Alexandria via LeMat-Bulk. Energies are from GGA-PBE.

Output
total magnetic moment: 0.00 Bohr magnetons per cell
formation energy: 0.107 eV per atom
distance to the lowest polymorph of the same formula: 0.0 meV per atom
D(E_F): 8.300 states/eV/cell

a b c (Å): 6.989 6.989 2.762
angles (deg): 90.00 90.00 90.00
Space group P4/mbm (No. 127)
Inequivalent atoms, fractional coordinates:
V: 0.152 0.348 0.000 [4 per cell]
Cd: 0.000 0.000 0.500 [2 per cell]
Fe: 0.135 0.635 0.500 [4 per cell]



[6]
Here is a relaxed Nb3AuSe crystal from Alexandria via LeMat-Bulk. Energies are from GGA-PBE.

Output
total magnetic moment: 0.00 Bohr magnetons per cell
energy relative to the elements, uncorrected: 33.84 kcal/mol of atoms
distance to the lowest polymorph of the same formula: 808.2 meV per atom
D(E_F): 5.722 states/eV/cell

a b c (Å): 4.990 4.990 4.990
angles (deg): 90.00 90.00 90.00
Space group Pm-3m (No. 221)
Inequivalent atoms, fractional coordinates:
Nb: 0.000 0.000 0.500 [3 per cell]
Au: 0.000 0.000 0.000 [1 per cell]
Se: 0.500 0.500 0.500 [1 per cell]



[7]
Here is a relaxed MgGa3N4 crystal from Alexandria via LeMat-Bulk. Energies are from GGA-PBE.

Output
total magnetic moment: 0.00 Bohr magnetons per cell
energy relative to the elements, uncorrected: -8.13 kcal/mol of atoms
D(E_F): 10.899 states/eV/cell

a b c (Å): 6.483 5.660 5.290
angles (deg): 90.00 90.00 90.00
Space group Pmn2_1 (No. 31)
Inequivalent atoms, fractional coordinates:
Mg: 0.000 0.164 0.000 [2 per cell]
Ga: 0.000 0.830 0.495 [2 per cell]
Ga: 0.250 0.335 0.497 [4 per cell]
N: 0.000 0.161 0.602 [2 per cell]
N: 0.000 0.815 0.126 [2 per cell]
N: 0.238 0.658 0.627 [4 per cell]



[8]
Here is a relaxed MnCrCo2 crystal from Alexandria via LeMat-Bulk. Energies are from GGA-PBE.

Output
total magnetic moment: 6.26 Bohr magnetons per cell
formation energy: 0.147 eV per atom
D(E_F): 23.699 states/eV/cell

a b c (Å): 2.425 18.160 3.970
angles (deg): 90.00 90.00 90.00
Space group Cmcm (No. 63)
Inequivalent atoms, fractional coordinates:
Mn: 0.000 0.228 0.250 [4 per cell]
Cr: 0.000 0.403 0.750 [4 per cell]
Co: 0.000 0.030 0.750 [4 per cell]
Co: 0.000 0.156 0.750 [4 per cell]



[9]
Here is a relaxed CeThTl2 crystal from Alexandria via LeMat-Bulk. Energies are from GGA-PBE.

Output
total magnetic moment: 2.88 Bohr magnetons per cell
formation energy: -0.190 eV per atom
D(E_F): 16.814 states/eV/cell

a b c (Å): 7.178 9.230 3.494
angles (deg): 90.00 90.00 90.00
Space group Cmmm (No. 65)
Inequivalent atoms, fractional coordinates:
Ce: 0.000 0.000 0.000 [2 per cell]
Th: 0.000 0.500 0.000 [2 per cell]
Tl: 0.250 0.250 0.500 [4 per cell]



[10]
Here is a relaxed LaFe2Br crystal from Alexandria via LeMat-Bulk. Energies are from GGA-PBE.

Output
total magnetic moment: 4.00 Bohr magnetons per cell
energy relative to the elements, uncorrected: -2.54 kcal/mol of atoms
distance to the lowest polymorph of the same formula: 0.0 meV per atom
D(E_F): 2.526 states/eV/cell

a b c (Å): 3.9993 3.9993 6.9090
angles (deg): 90.00 90.00 120.00
Space group P3m1 (No. 156)
Inequivalent atoms, fractional coordinates:
La: 0.0000 0.0000 0.0000 [1 per cell]
Fe: 0.3333 0.6667 0.6864 [1 per cell]
Fe: 0.6667 0.3333 0.7391 [1 per cell]
Br: 0.3333 0.6667 0.3133 [1 per cell]



[11]
Here is a relaxed Sr2Li2NpN4 crystal from Alexandria via LeMat-Bulk. Energies are from GGA-PBE.

Output
total magnetic moment: 2.00 Bohr magnetons per cell
energy relative to the elements, uncorrected: -18.32 kcal/mol of atoms
D(E_F): 4.432 states/eV/cell

a b c (Å): 12.299 3.502 6.154
angles (deg): 90.00 112.23 90.00
Space group C2/m (No. 12)
Inequivalent atoms, fractional coordinates:
Sr: 0.143 0.000 0.074 [4 per cell]
Li: 0.181 0.500 0.490 [4 per cell]
Np: 0.000 0.000 0.500 [2 per cell]
N: 0.014 0.500 0.280 [4 per cell]
N: 0.189 0.000 0.671 [4 per cell]



[12]
Here is a relaxed HgOs2Se crystal from Alexandria via LeMat-Bulk. Energies are from GGA-PBE.

Output
total magnetic moment: 0.00 Bohr magnetons per cell
energy relative to the elements, uncorrected: 23.49 kcal/mol of atoms
D(E_F): 2.655 states/eV/cell

a b c (Å): 3.029 4.118 5.569
angles (deg): 90.00 102.39 90.00
Space group P2/m (No. 10)
Inequivalent atoms, fractional coordinates:
Hg: 0.000 0.000 0.000 [1 per cell]
Os: 0.351 0.500 0.715 [2 per cell]
Se: 0.500 0.000 0.500 [1 per cell]



Repeat the seventh record exactly.
Here is a relaxed MgGa3N4 crystal from Alexandria via LeMat-Bulk. Energies are from GGA-PBE.

Output
total magnetic moment: 0.00 Bohr magnetons per cell
energy relative to the elements, uncorrected: -8.13 kcal/mol of atoms
D(E_F): 10.899 states/eV/cell

a b c (Å): 6.483 5.660 5.290
angles (deg): 90.00 90.00 90.00
Space group Pmn2_1 (No. 31)
Inequivalent atoms, fractional coordinates:
Mg: 0.000 0.164 0.000 [2 per cell]
Ga: 0.000 0.830 0.495 [2 per cell]
Ga: 0.250 0.335 0.497 [4 per cell]
N: 0.000 0.161 0.602 [2 per cell]
N: 0.000 0.815 0.126 [2 per cell]
N: 0.238 0.658 0.627 [4 per cell]